Entry 1:
# LiCaY2

A relaxed LiCaY2 crystal (PBE-GGA, Alexandria via LeMat-Bulk).

```
4
Lattice="3.4950 0.0000 0.0000 0.0000 5.9172 0.0000 -0.8148 0.0000 6.1739" Properties=species:S:1:pos:R:3 pbc="T T T"
Li 0.0000 0.0000 0.0000
Ca 1.3401 0.0000 3.0869
Y 0.1548 2.9586 4.6581
Y 2.5254 2.9586 1.5158
```

Output
Uncorrected energy ... -4.031 eV per atom
Symmetry ... P2/m
Formation enthalpy at 0 K ... 0.180 eV per atom
Energy above the most stable polymorph in this dataset ... 41 kJ/mol of formula units

Entry 2:
# LiCaY3

A relaxed LiCaY3 crystal (PBE-GGA, Alexandria via LeMat-Bulk).

```
5
Lattice="5.6879 0.0000 0.0000 0.0000 5.6879 0.0000 0.0000 0.0000 5.6879" Properties=species:S:1:pos:R:3 pbc="T T T"
Li 0.0000 0.0000 0.0000
Ca 2.8440 2.8440 2.8440
Y 0.0000 2.8440 2.8440
Y 2.8440 0.0000 2.8440
Y 2.8440 2.8440 0.0000
```

Output
Uncorrected energy ... -3.684 eV per atom
Symmetry ... Pm-3m
Formation enthalpy at 0 K ... 0.977 eV per atom
Energy above the most stable polymorph in this dataset ... 275 kJ/mol of formula units

Entry 3:
# LiCaY2

A relaxed LiCaY2 crystal (PBE-GGA, Alexandria via LeMat-Bulk).

```
4
Lattice="1.8042 1.0417 11.4611 -1.8042 1.0417 11.4611 0.0000 -2.0833 11.4611" Properties=species:S:1:pos:R:3 pbc="T T T"
Li 0.0000 0.0000 0.0000
Ca 0.0000 0.0000 25.7563
Y 0.0000 0.0000 8.7483
Y 0.0000 0.0000 17.3972
```

Output
Uncorrected energy ... -4.102 eV per atom
Symmetry ... R3m
Formation enthalpy at 0 K ... 0.109 eV per atom
Energy above the most stable polymorph in this dataset ... 13 kJ/mol of formula units

Entry 4:
# LiCaY2

A relaxed LiCaY2 crystal (PBE-GGA, Alexandria via LeMat-Bulk).

```
4
Lattice="6.3215 -1.9108 0.0000 6.3215 1.9108 0.0000 -2.5949 0.0000 5.1097" Properties=species:S:1:pos:R:3 pbc="T T T"
Li 0.0000 0.0000 0.0000
Ca 1.4972 0.0000 3.9702
Y 4.9995 0.0000 2.5400
Y 8.5786 0.0000 1.1425
```

Output
Uncorrected energy ... -4.064 eV per atom
Symmetry ... Cm
Formation enthalpy at 0 K ... 0.147 eV per atom
Energy above the most stable polymorph in this dataset ... 28 kJ/mol of formula units

Entry 5:
# LiCaY2

A relaxed LiCaY2 crystal (PBE-GGA, Alexandria via LeMat-Bulk).

```
4
Lattice="3.6481 0.0000 0.0000 0.0000 3.6481 0.0000 0.0000 0.0000 9.4560" Properties=species:S:1:pos:R:3 pbc="T T T"
Li 0.0000 0.0000 0.0000
Ca 1.8241 1.8241 7.2248
Y 0.0000 0.0000 4.4442
Y 1.8241 1.8241 2.0515
```

Output
Uncorrected energy ... -4.137 eV per atom
Symmetry ... P4mm
Formation enthalpy at 0 K ... 0.074 eV per atom
Energy above the most stable polymorph in this dataset ... 0 kJ/mol of formula units

Entry 6:
# LiCaY2

A relaxed LiCaY2 crystal (PBE-GGA, Alexandria via LeMat-Bulk).

```
4
Lattice="3.0821 -1.7810 0.0000 3.0821 1.7810 0.0000 -2.0274 0.0000 11.5093" Properties=species:S:1:pos:R:3 pbc="T T T"
Li 0.0000 0.0000 0.0000
Ca 4.1217 0.0000 5.7607
Y 2.0598 0.0000 2.6463
Y 2.0759 0.0000 8.8700
```

Output
Uncorrected energy ... -4.037 eV per atom
Symmetry ... Cm
Formation enthalpy at 0 K ... 0.174 eV per atom
Energy above the most stable polymorph in this dataset ... 39 kJ/mol of formula units

Entry 7:
# Li2CaY

A relaxed Li2CaY crystal (PBE-GGA, Alexandria via LeMat-Bulk).

```
4
Lattice="3.7122 0.0000 0.0000 0.0000 3.7122 0.0000 0.0000 0.0000 8.1751" Properties=species:S:1:pos:R:3 pbc="T T T"
Li 0.0000 0.0000 0.0000
Li 1.8561 1.8561 1.2846
Ca 1.8561 1.8561 5.9428
Y 0.0000 0.0000 3.2793
```

Output
Uncorrected energy ... -2.992 eV per atom
Symmetry ... P4mm
Formation enthalpy at 0 K ... 0.081 eV per atom
Energy above the most stable polymorph in this dataset ... 0 kJ/mol of formula units

Entry 8:
# LiCaY2

A relaxed LiCaY2 crystal (PBE-GGA, Alexandria via LeMat-Bulk).

```
4
Lattice="0.0000 3.9577 3.9577 3.9577 0.0000 3.9577 3.9577 3.9577 0.0000" Properties=species:S:1:pos:R:3 pbc="T T T"
Li 0.0000 0.0000 0.0000
Ca 3.9577 3.9577 3.9577
Y 1.9789 1.9789 1.9789
Y 5.9366 5.9366 5.9366
```

Output
Uncorrected energy ... -3.983 eV per atom
Symmetry ... Fm-3m
Formation enthalpy at 0 K ... 0.228 eV per atom
Energy above the most stable polymorph in this dataset ... 59 kJ/mol of formula units

Entry 9:
# Li2CaY

A relaxed Li2CaY crystal (PBE-GGA, Alexandria via LeMat-Bulk).

```
4
Lattice="-1.7674 2.8116 5.6726 1.7674 -2.8116 5.6726 1.7674 2.8116 -5.6726" Properties=species:S:1:pos:R:3 pbc="T T T"
Li 0.0000 0.0000 0.0000
Li 0.0000 2.8116 3.5193
Ca 1.7674 0.0000 2.9358
Y 0.0000 0.0000 6.2567
```

Output
Uncorrected energy ... -2.948 eV per atom
Symmetry ... Imm2
Formation enthalpy at 0 K ... 0.125 eV per atom
Energy above the most stable polymorph in this dataset ... 17 kJ/mol of formula units

Entry 10:
# LiCaY2

A relaxed LiCaY2 crystal (PBE-GGA, Alexandria via LeMat-Bulk).

```
4
Lattice="3.5209 0.0000 0.0000 0.0000 5.2014 0.0000 -1.1635 0.0000 6.9621" Properties=species:S:1:pos:R:3 pbc="T T T"
Li 0.0000 0.0000 0.0000
Ca 1.2704 2.6007 5.1881
Y -0.4573 0.0000 3.2329
Y 1.3436 2.6007 1.6140
```

Output
Uncorrected energy ... -4.054 eV per atom
Symmetry ... Pm
Formation enthalpy at 0 K ... 0.157 eV per atom
Energy above the most stable polymorph in this dataset ... 32 kJ/mol of formula units

Entry 11:
# Li17CaY

A relaxed Li17CaY crystal (PBE-GGA, Alexandria via LeMat-Bulk).

```
19
Lattice="4.9634 2.8656 4.8782 -4.9634 2.8656 4.8782 0.0000 -5.7313 4.8782" Properties=species:S:1:pos:R:3 pbc="T T T"
Li -2.3912 -1.3806 4.8782
Li 0.0000 0.0000 0.7232
Li 0.0000 -2.9422 4.5767
Li -2.5480 1.4711 4.5767
Li -1.4394 -3.1533 7.0363
Li -3.4506 0.3302 7.0363
Li 0.0000 0.0000 3.6161
Li -2.3531 -1.3586 9.2086
Li 1.4394 -3.1533 7.0363
Li -2.0112 2.8232 7.0363
Li 2.3912 -1.3806 4.8782
Li 0.0000 2.7611 4.8782
Li 2.5480 1.4711 4.5767
Li 2.3531 -1.3586 9.2085
Li 0.0000 2.7171 9.2085
Li 3.4506 0.3302 7.0364
Li 2.0112 2.8232 7.0364
Ca 0.0000 0.0000 11.6947
Y 0.0000 0.0000 7.0980
```

Output
Uncorrected energy ... -2.104 eV per atom
Symmetry ... R3m
Formation enthalpy at 0 K ... 0.054 eV per atom

Entry 12:
# Li2CaY

A relaxed Li2CaY crystal (PBE-GGA, Alexandria via LeMat-Bulk).

```
4
Lattice="3.5468 0.0000 0.0000 0.0000 5.2081 0.0000 -1.7663 0.0000 6.2331" Properties=species:S:1:pos:R:3 pbc="T T T"
Li 0.0000 0.0000 0.0000
Li -0.0102 2.6040 1.7221
Ca 0.0010 2.6040 4.9977
Y 1.7685 0.0000 2.7964
```

Output
Uncorrected energy ... -2.942 eV per atom
Symmetry ... Pm
Formation enthalpy at 0 K ... 0.131 eV per atom
Energy above the most stable polymorph in this dataset ... 19 kJ/mol of formula units

Entry 13:
# Li2CaY

A relaxed Li2CaY crystal (PBE-GGA, Alexandria via LeMat-Bulk).

```
4
Lattice="1.7802 1.0278 10.9559 -1.7802 1.0278 10.9559 0.0000 -2.0556 10.9559" Properties=species:S:1:pos:R:3 pbc="T T T"
Li 0.0000 0.0000 0.0000
Li 0.0000 0.0000 5.3039
Ca 0.0000 0.0000 19.0766
Y 0.0000 0.0000 13.6168
```

Output
Uncorrected energy ... -2.897 eV per atom
Symmetry ... R3m
Formation enthalpy at 0 K ... 0.176 eV per atom
Energy above the most stable polymorph in this dataset ... 37 kJ/mol of formula units

Entry 14:
# Li4CaY

A relaxed Li4CaY crystal (PBE-GGA, Alexandria via LeMat-Bulk).

```
6
Lattice="0.0000 4.2530 4.2530 4.2530 0.0000 4.2530 4.2530 4.2530 0.0000" Properties=species:S:1:pos:R:3 pbc="T T T"
Li 1.0593 1.0593 1.0593
Li 3.1938 3.1938 1.0593
Li 3.1938 1.0593 3.1938
Li 1.0593 3.1938 3.1938
Ca 4.2530 4.2530 4.2530
Y 6.3796 6.3796 6.3796
```

Output
Uncorrected energy ... -2.608 eV per atom
Symmetry ... F-43m
Formation enthalpy at 0 K ... 0.079 eV per atom

Entry 15:
# LiCaY2

A relaxed LiCaY2 crystal (PBE-GGA, Alexandria via LeMat-Bulk).

```
4
Lattice="-1.8581 2.8241 5.9433 1.8581 -2.8241 5.9433 1.8581 2.8241 -5.9433" Properties=species:S:1:pos:R:3 pbc="T T T"
Li 0.0000 0.0000 0.0000
Ca 0.0000 0.0000 5.9433
Y 1.8581 0.0000 2.6709
Y 0.0000 2.8241 3.2724
```

Output
Uncorrected energy ... -4.100 eV per atom
Symmetry ... Immm
Formation enthalpy at 0 K ... 0.111 eV per atom
Energy above the most stable polymorph in this dataset ... 14 kJ/mol of formula units

Entry 16:
# LiCaY2

A relaxed LiCaY2 crystal (PBE-GGA, Alexandria via LeMat-Bulk).

```
4
Lattice="1.9695 -2.8302 0.0000 1.9695 2.8302 0.0000 0.0000 0.0000 11.2996" Properties=species:S:1:pos:R:3 pbc="T T T"
Li 0.0000 0.0000 0.0000
Ca 0.0000 0.0000 5.6498
Y 1.9695 0.0000 2.6072
Y 1.9695 0.0000 8.6924
```

Output
Uncorrected energy ... -4.033 eV per atom
Symmetry ... Cmmm
Formation enthalpy at 0 K ... 0.178 eV per atom
Energy above the most stable polymorph in this dataset ... 40 kJ/mol of formula units

Entry 17:
# LiCaY2

A relaxed LiCaY2 crystal (PBE-GGA, Alexandria via LeMat-Bulk).

```
4
Lattice="3.8451 0.0000 0.0000 0.0000 5.6002 0.0000 0.0000 0.0000 5.9004" Properties=species:S:1:pos:R:3 pbc="T T T"
Li 0.0000 0.0000 0.0000
Ca 1.9226 2.8001 0.0000
Y 0.0000 2.8001 2.9502
Y 1.9226 0.0000 2.9502
```

Output
Uncorrected energy ... -4.048 eV per atom
Symmetry ... Pmmm
Formation enthalpy at 0 K ... 0.163 eV per atom
Energy above the most stable polymorph in this dataset ... 34 kJ/mol of formula units

Entry 18:
# LiCaY2

A relaxed LiCaY2 crystal (PBE-GGA, Alexandria via LeMat-Bulk).

```
4
Lattice="-2.3787 2.3787 5.6458 2.3787 -2.3787 5.6458 2.3787 2.3787 -5.6458" Properties=species:S:1:pos:R:3 pbc="T T T"
Li 0.0000 0.0000 0.0000
Ca 0.0000 0.0000 5.6458
Y 2.3787 0.0000 2.8229
Y 0.0000 2.3787 2.8229
```

Output
Uncorrected energy ... -3.988 eV per atom
Symmetry ... I4/mmm
Formation enthalpy at 0 K ... 0.223 eV per atom
Energy above the most stable polymorph in this dataset ... 57 kJ/mol of formula units

Entry 19:
# LiCaY2

A relaxed LiCaY2 crystal (PBE-GGA, Alexandria via LeMat-Bulk).

```
4
Lattice="1.7825 1.0291 11.5197 -1.7825 1.0291 11.5197 0.0000 -2.0583 11.5197" Properties=species:S:1:pos:R:3 pbc="T T T"
Li 0.0000 0.0000 0.0000
Ca 0.0000 0.0000 17.2796
Y 0.0000 0.0000 8.8722
Y 0.0000 0.0000 25.6869
```

Output
Uncorrected energy ... -4.033 eV per atom
Symmetry ... R-3m
Formation enthalpy at 0 K ... 0.178 eV per atom
Energy above the most stable polymorph in this dataset ... 40 kJ/mol of formula units

Entry 20:
# Li2CaY

A relaxed Li2CaY crystal (PBE-GGA, Alexandria via LeMat-Bulk).

```
4
Lattice="5.9090 -1.7734 0.0000 5.9090 1.7734 0.0000 -1.8604 0.0000 5.3642" Properties=species:S:1:pos:R:3 pbc="T T T"
Li 0.0000 0.0000 0.0000
Li 7.6960 0.0000 1.4970
Ca 1.3531 0.0000 4.3724
Y 4.4788 0.0000 2.4845
```

Output
Uncorrected energy ... -2.956 eV per atom
Symmetry ... Cm
Formation enthalpy at 0 K ... 0.117 eV per atom
Energy above the most stable polymorph in this dataset ... 14 kJ/mol of formula units